1.
! PBE-GGA Ca3TlGa, relaxed; values from VASP
&SYSTEM
  ibrav = 0, nat = 5, ntyp = 3
/
ATOMIC_SPECIES
Ca 40.08 Ca.upf
Tl 204.38 Tl.upf
Ga 69.72 Ga.upf
CELL_PARAMETERS angstrom
5.7461 0.0000 0.0000
0.0000 5.7461 0.0000
0.0000 0.0000 5.7461
ATOMIC_POSITIONS crystal
Ca 0.0000 0.0000 0.5000
Ca 0.0000 0.5000 0.0000
Ca 0.5000 0.0000 0.0000
Tl 0.5000 0.5000 0.5000
Ga 0.0000 0.0000 0.0000
! crystal system = cubic
! ΔE to the lowest computed polymorph = 269 meV per atom
! SG = Pm-3m
! formation energy from the elements = -0.5 eV per formula unit
! VASP energy = -2.370 eV/atom
! magnetic moment = 0.0 Bohr magnetons per cell

---

2.
! PBE-GGA DyHoFe10, relaxed; values from VASP
&SYSTEM
  ibrav = 0, nat = 12, ntyp = 3
/
ATOMIC_SPECIES
Dy 162.50 Dy.upf
Ho 164.93 Ho.upf
Fe 55.84 Fe.upf
CELL_PARAMETERS angstrom
3.9454 0.0000 0.0000
0.0000 4.9902 0.0000
0.0000 0.0000 8.6092
ATOMIC_POSITIONS crystal
Dy 0.0000 0.0000 0.0000
Ho 0.0000 0.5000 0.5000
Fe 0.0000 0.0000 0.3341
Fe 0.0000 0.0000 0.6659
Fe 0.0000 0.5000 0.1668
Fe 0.0000 0.5000 0.8332
Fe 0.5000 0.0000 0.5000
Fe 0.5000 0.2503 0.2505
Fe 0.5000 0.2503 0.7495
Fe 0.5000 0.5000 0.0000
Fe 0.5000 0.7497 0.2505
Fe 0.5000 0.7497 0.7495
! crystal system = orthorhombic
! SG = Pmmm
! formation energy from the elements = -0.6 eV per formula unit
! VASP energy = -7.870 eV/atom
! magnetic moment = 19.3 Bohr magnetons per cell

---

3.
! PBE-GGA Tm3Si6Ni20, relaxed; values from VASP
&SYSTEM
  ibrav = 0, nat = 29, ntyp = 3
/
ATOMIC_SPECIES
Tm 168.93 Tm.upf
Si 28.09 Si.upf
Ni 58.69 Ni.upf
CELL_PARAMETERS angstrom
0.0000 5.6941 5.6941
5.6941 0.0000 5.6941
5.6941 5.6941 0.0000
ATOMIC_POSITIONS crystal
Tm 0.0000 0.0000 0.0000
Tm 0.2500 0.2500 0.2500
Tm 0.7500 0.7500 0.7500
Si 0.2667 0.2667 0.7333
Si 0.2667 0.7333 0.2667
Si 0.2667 0.7333 0.7333
Si 0.7333 0.2667 0.2667
Si 0.7333 0.2667 0.7333
Si 0.7333 0.7333 0.2667
Ni 0.0000 0.0000 0.3529
Ni 0.0000 0.0000 0.6471
Ni 0.0000 0.3529 0.0000
Ni 0.0000 0.3529 0.6471
Ni 0.0000 0.6471 0.0000
Ni 0.0000 0.6471 0.3529
Ni 0.1536 0.6155 0.6155
Ni 0.3529 0.0000 0.0000
Ni 0.3529 0.0000 0.6471
Ni 0.3529 0.6471 0.0000
Ni 0.3845 0.3845 0.3845
Ni 0.3845 0.3845 0.8464
Ni 0.3845 0.8464 0.3845
Ni 0.6155 0.1536 0.6155
Ni 0.6155 0.6155 0.1536
Ni 0.6155 0.6155 0.6155
Ni 0.6471 0.0000 0.0000
Ni 0.6471 0.0000 0.3529
Ni 0.6471 0.3529 0.0000
Ni 0.8464 0.3845 0.3845
! crystal system = cubic
! formation energy (no corrections) = -514.8 meV per atom
! SG = Fm-3m
! VASP energy = -6.087 eV/atom
! magnetic moment = 0.0 Bohr magnetons per cell

---

4.
! PBE-GGA NaCaI2, relaxed; values from VASP
&SYSTEM
  ibrav = 0, nat = 16, ntyp = 3
/
ATOMIC_SPECIES
Na 22.99 Na.upf
Ca 40.08 Ca.upf
I 126.90 I.upf
CELL_PARAMETERS angstrom
8.0329 0.0000 0.0000
0.0000 8.0329 0.0000
0.0000 0.0000 8.0329
ATOMIC_POSITIONS crystal
Na 0.0000 0.0000 0.0000
Na 0.0000 0.5000 0.5000
Na 0.5000 0.0000 0.5000
Na 0.5000 0.5000 0.0000
Ca 0.0000 0.0000 0.5000
Ca 0.0000 0.5000 0.0000
Ca 0.5000 0.0000 0.0000
Ca 0.5000 0.5000 0.5000
I 0.2500 0.2500 0.2500
I 0.2500 0.2500 0.7500
I 0.2500 0.7500 0.2500
I 0.2500 0.7500 0.7500
I 0.7500 0.2500 0.2500
I 0.7500 0.2500 0.7500
I 0.7500 0.7500 0.2500
I 0.7500 0.7500 0.7500
! crystal system = cubic
! formation energy (no corrections) = -946.2 meV per atom
! ΔE to the lowest computed polymorph = 162 meV per atom
! SG = Fm-3m
! VASP energy = -2.551 eV/atom
! magnetic moment = 0.0 Bohr magnetons per cell

---

5.
! PBE-GGA Ce8In2Sb, relaxed; values from VASP
&SYSTEM
  ibrav = 0, nat = 11, ntyp = 3
/
ATOMIC_SPECIES
Ce 140.12 Ce.upf
In 114.82 In.upf
Sb 121.76 Sb.upf
CELL_PARAMETERS angstrom
4.2959 -7.1640 0.0000
4.2959 7.1640 0.0000
-2.2457 0.0000 5.2153
ATOMIC_POSITIONS crystal
Ce 0.0833 0.2753 0.5926
Ce 0.2248 0.7752 0.0000
Ce 0.2753 0.0833 0.5926
Ce 0.4047 0.4047 0.1497
Ce 0.5953 0.5953 0.8503
Ce 0.7247 0.9167 0.4074
Ce 0.7752 0.2248 0.0000
Ce 0.9167 0.7247 0.4074
In 0.3111 0.6889 0.5000
In 0.6889 0.3111 0.5000
Sb 0.0000 0.0000 0.0000
! crystal system = monoclinic
! formation energy (no corrections) = -198.0 meV per atom
! SG = C2/m
! VASP energy = -5.386 eV/atom
! magnetic moment = 4.4 Bohr magnetons per cell

---

6.
! PBE-GGA MgTe2P, relaxed; values from VASP
&SYSTEM
  ibrav = 0, nat = 8, ntyp = 3
/
ATOMIC_SPECIES
Mg 24.30 Mg.upf
Te 127.60 Te.upf
P 30.97 P.upf
CELL_PARAMETERS angstrom
5.8448 0.0000 0.0000
0.0000 5.8448 0.0000
0.0000 0.0000 5.9216
ATOMIC_POSITIONS crystal
Mg 0.0000 0.0000 0.0000
Mg 0.5000 0.5000 0.5000
Te 0.0000 0.5000 0.0000
Te 0.0000 0.5000 0.5000
Te 0.5000 0.0000 0.0000
Te 0.5000 0.0000 0.5000
P 0.0000 0.0000 0.5000
P 0.5000 0.5000 0.0000
! crystal system = tetragonal
! formation energy (no corrections) = -169.8 meV per atom
! ΔE to the lowest computed polymorph = 47 meV per atom
! SG = I4/mmm
! VASP energy = -3.492 eV/atom
! magnetic moment = 0.0 Bohr magnetons per cell

---

Q: Among the records above, which one has the lowest VASP energy?
A: DyHoFe10

---

Please write out number 3 again, unchanged.
! PBE-GGA Tm3Si6Ni20, relaxed; values from VASP
&SYSTEM
  ibrav = 0, nat = 29, ntyp = 3
/
ATOMIC_SPECIES
Tm 168.93 Tm.upf
Si 28.09 Si.upf
Ni 58.69 Ni.upf
CELL_PARAMETERS angstrom
0.0000 5.6941 5.6941
5.6941 0.0000 5.6941
5.6941 5.6941 0.0000
ATOMIC_POSITIONS crystal
Tm 0.0000 0.0000 0.0000
Tm 0.2500 0.2500 0.2500
Tm 0.7500 0.7500 0.7500
Si 0.2667 0.2667 0.7333
Si 0.2667 0.7333 0.2667
Si 0.2667 0.7333 0.7333
Si 0.7333 0.2667 0.2667
Si 0.7333 0.2667 0.7333
Si 0.7333 0.7333 0.2667
Ni 0.0000 0.0000 0.3529
Ni 0.0000 0.0000 0.6471
Ni 0.0000 0.3529 0.0000
Ni 0.0000 0.3529 0.6471
Ni 0.0000 0.6471 0.0000
Ni 0.0000 0.6471 0.3529
Ni 0.1536 0.6155 0.6155
Ni 0.3529 0.0000 0.0000
Ni 0.3529 0.0000 0.6471
Ni 0.3529 0.6471 0.0000
Ni 0.3845 0.3845 0.3845
Ni 0.3845 0.3845 0.8464
Ni 0.3845 0.8464 0.3845
Ni 0.6155 0.1536 0.6155
Ni 0.6155 0.6155 0.1536
Ni 0.6155 0.6155 0.6155
Ni 0.6471 0.0000 0.0000
Ni 0.6471 0.0000 0.3529
Ni 0.6471 0.3529 0.0000
Ni 0.8464 0.3845 0.3845
! crystal system = cubic
! formation energy (no corrections) = -514.8 meV per atom
! SG = Fm-3m
! VASP energy = -6.087 eV/atom
! magnetic moment = 0.0 Bohr magnetons per cell

---

Copy entry 1 word for word.
! PBE-GGA Ca3TlGa, relaxed; values from VASP
&SYSTEM
  ibrav = 0, nat = 5, ntyp = 3
/
ATOMIC_SPECIES
Ca 40.08 Ca.upf
Tl 204.38 Tl.upf
Ga 69.72 Ga.upf
CELL_PARAMETERS angstrom
5.7461 0.0000 0.0000
0.0000 5.7461 0.0000
0.0000 0.0000 5.7461
ATOMIC_POSITIONS crystal
Ca 0.0000 0.0000 0.5000
Ca 0.0000 0.5000 0.0000
Ca 0.5000 0.0000 0.0000
Tl 0.5000 0.5000 0.5000
Ga 0.0000 0.0000 0.0000
! crystal system = cubic
! ΔE to the lowest computed polymorph = 269 meV per atom
! SG = Pm-3m
! formation energy from the elements = -0.5 eV per formula unit
! VASP energy = -2.370 eV/atom
! magnetic moment = 0.0 Bohr magnetons per cell